First-principles (GGA-PBE) data for a relaxed InSi2Au crystal, as listed in Alexandria via LeMat-Bulk.

Values from the calculation:
E_form (uncorrected), eV/atom: 0.20
Magnetic moment, μB per formula unit: 0.0
Space group: R-3m
VASP energy, eV/atom: -4.0190

abc: 6.2870 6.2870 6.2870
angles: 37.63 37.63 37.63
Last column: nearest neighbours and their distance in Å.
Fractional positions:
Si1 0.5252 0.5252 0.5252  3 Au 2.55
In1 0.7500 0.7500 0.7500  6 Si 3.02
Au1 0.2500 0.2500 0.2500  6 Si 2.55
Si2 0.9748 0.9748 0.9748  3 Au 2.55



First-principles (GGA-PBE) data for a relaxed Mo2RuBrN crystal, as listed in Alexandria via LeMat-Bulk.

Values from the calculation:
E_form (uncorrected), eV/atom: 2.72
Magnetic moment, μB per formula unit: 0.8
Space group: P4/mmm
VASP energy, eV/atom: -5.4638

abc: 4.6167 4.4631 4.6167
angles: 90.00 90.00 90.00
Last column: nearest neighbours and their distance in Å.
Fractional positions:
Ru1 0.0000 0.5000 0.0000  2 Br 2.23
N1 0.5000 0.5000 0.5000  8 Mo 3.21, 4 Ru 3.26
Mo1 0.0000 0.0000 0.5000  2 Br 2.31
Mo2 0.5000 0.0000 0.0000  2 Br 2.31
Br1 0.0000 0.0000 0.0000  2 Ru 2.23, 4 Mo 2.31



First-principles (GGA-PBE) data for a relaxed ZrBePCl2 crystal, as listed in Alexandria via LeMat-Bulk.

Values from the calculation:
E_form (uncorrected), eV/atom: -0.27
Magnetic moment, μB per formula unit: 0.8
Space group: P4/mmm
VASP energy, eV/atom: -4.5487
Energy above the lowest structure with this stoichiometry, eV per atom: 0.000

abc: 4.0204 4.0204 6.5312
angles: 90.00 90.00 90.00
Last column: nearest neighbours and their distance in Å.
Fractional positions:
Cl1 0.5000 0.0000 0.0000  2 Be 2.01
P1 0.0000 0.0000 0.5000  4 Zr 2.84
Zr1 0.5000 0.5000 0.5000  4 P 2.84
Be1 0.0000 0.0000 0.0000  4 Cl 2.01
Cl2 0.0000 0.5000 0.0000  2 Be 2.01



First-principles (GGA-PBE) data for a relaxed Fe2PbCl crystal, as listed in Alexandria via LeMat-Bulk.

Values from the calculation:
E_form (uncorrected), eV/atom: 0.68
Magnetic moment, μB per formula unit: 5.7
Space group: I-4m2
VASP energy, eV/atom: -4.9413
Energy above the lowest structure with this stoichiometry, eV per atom: 0.615

abc: 5.6236 5.6236 5.6236
angles: 139.33 139.33 58.87
Last column: nearest neighbours and their distance in Å.
Fractional positions:
Cl1 0.7500 0.2500 0.5000  4 Fe 2.76
Fe1 0.0000 0.0000 0.0000  4 Pb 2.76
Pb1 0.5000 0.5000 0.0000  4 Fe 2.76
Fe2 0.2500 0.7500 0.5000  4 Cl 2.76



First-principles (GGA-PBE) data for a relaxed MgScBe2 crystal, as listed in Alexandria via LeMat-Bulk.

Values from the calculation:
E_form, eV per atom: 0.136
Magnetic moment, μB per formula unit: 0.2
Space group: Pmm2
VASP energy, eV/atom: -3.7087

abc: 2.9052 2.8734 7.2733
angles: 90.00 90.00 90.00
Last column: nearest neighbours and their distance in Å.
Fractional positions:
Mg1 0.0000 0.0000 0.4489  5 Be 2.78-2.85, 4 Mg 2.87-2.91
Sc1 0.5000 0.5000 0.8043  5 Be 2.75-2.80, 4 Sc 2.87-2.91
Be1 0.0000 0.0000 0.0575  4 Be 2.26
Be2 0.5000 0.5000 0.1893  4 Be 2.26



First-principles (GGA-PBE) data for a relaxed TmUMnC3 crystal, as listed in Alexandria via LeMat-Bulk.

Values from the calculation:
E_form, eV per atom: -0.091
Magnetic moment, μB per formula unit: 0.0
Space group: P2_1/m
VASP energy, eV/atom: -8.8579

abc: 3.4743 6.9594 7.2369
angles: 92.66 90.00 90.00
Last column: nearest neighbours and their distance in Å.
Fractional positions:
C1 0.7500 0.4092 0.1294  3 U 2.27-2.35
Mn1 0.2500 0.0955 0.5825  4 C 1.87-1.90
C2 0.2500 0.1364 0.8424  1 Mn 1.89
Tm1 0.7500 0.8566 0.8267  5 C 2.39-2.61
U1 0.2500 0.6314 0.1830  5 C 2.27-2.39
Tm2 0.2500 0.1434 0.1733  5 C 2.39-2.61
Mn2 0.7500 0.9045 0.4175  4 C 1.87-1.90
U2 0.7500 0.3686 0.8170  5 C 2.27-2.39
C3 0.2500 0.5908 0.8706  3 U 2.27-2.35
C4 0.2500 0.8372 0.4871  3 Mn 1.87-1.90
C5 0.7500 0.8636 0.1576  1 Mn 1.89
C6 0.7500 0.1628 0.5129  3 Mn 1.87-1.90



First-principles (GGA-PBE) data for a relaxed BaInAgHg crystal, as listed in Alexandria via LeMat-Bulk.

Values from the calculation:
E_form, eV per atom: -0.318
Magnetic moment, μB per formula unit: 0.0
Space group: Cm
VASP energy, eV/atom: -2.2711
Energy above the lowest structure with this stoichiometry, eV per atom: 0.000

abc: 5.0742 5.0694 6.1672
angles: 114.20 90.00 120.03
Last column: nearest neighbours and their distance in Å.
Fractional positions:
Hg1 0.8385 0.6771 0.1565  3 In 3.20-3.21, 3 Ag 3.27, 4 Ba 3.49-3.54
Ag1 0.4156 0.8313 0.8892  3 In 2.93, 3 Hg 3.27
In1 0.0910 0.1820 0.9160  3 Ag 2.93, 3 Hg 3.20-3.21
Ba1 0.6211 0.2422 0.5057  4 Ag 3.35-3.59, 4 Hg 3.49-3.54, 3 In 3.68



First-principles (GGA-PBE) data for a relaxed Sc2Al5Fe2Pd crystal, as listed in Alexandria via LeMat-Bulk.

Values from the calculation:
E_form, eV per atom: -0.418
Magnetic moment, μB per formula unit: 2.5
Space group: P4/mbm
VASP energy, eV/atom: -5.7671

abc: 4.0194 8.8927 8.8927
angles: 90.00 90.00 90.00
Last column: nearest neighbours and their distance in Å.
Fractional positions:
Fe1 0.0000 0.3924 0.1076  6 Al 2.42-2.61, 3 Sc 2.64-2.67, 1 Fe 2.71
Al1 0.5000 0.0678 0.7903  2 Fe 2.61, 4 Al 2.65-2.80, 2 Pd 2.81
Fe2 0.0000 0.6076 0.8924  6 Al 2.42-2.61, 3 Sc 2.64-2.67, 1 Fe 2.71
Sc1 0.0000 0.6802 0.1802  3 Fe 2.64-2.67
Sc2 0.0000 0.8198 0.6802  3 Fe 2.64-2.67
Al2 0.5000 0.7903 0.9322  2 Fe 2.61, 4 Al 2.65-2.80, 2 Pd 2.81
Fe3 0.0000 0.8924 0.3924  6 Al 2.42-2.61, 3 Sc 2.64-2.67, 1 Fe 2.71
Al3 0.5000 0.5000 0.0000  4 Fe 2.42, 4 Al 2.65
Al4 0.5000 0.2097 0.0678  2 Fe 2.61, 4 Al 2.65-2.80, 2 Pd 2.81
Al5 0.5000 0.9322 0.2097  2 Fe 2.61, 4 Al 2.65-2.80, 2 Pd 2.81
Al6 0.5000 0.4322 0.2903  2 Fe 2.61, 4 Al 2.65-2.80, 2 Pd 2.81
Al7 0.5000 0.7097 0.4322  2 Fe 2.61, 4 Al 2.65-2.80, 2 Pd 2.81
Fe4 0.0000 0.1076 0.6076  6 Al 2.42-2.61, 3 Sc 2.64-2.67, 1 Fe 2.71
Pd1 0.0000 0.0000 0.0000  8 Al 2.81
Al8 0.5000 0.0000 0.5000  4 Fe 2.42, 4 Al 2.65
Sc3 0.0000 0.1802 0.3198  3 Fe 2.64-2.67
Al9 0.5000 0.5678 0.7097  2 Fe 2.61, 4 Al 2.65-2.80, 2 Pd 2.81
Sc4 0.0000 0.3198 0.8198  3 Fe 2.64-2.67
Pd2 0.0000 0.5000 0.5000  8 Al 2.81
Al10 0.5000 0.2903 0.5678  2 Fe 2.61, 4 Al 2.65-2.80, 2 Pd 2.81



First-principles (GGA-PBE) data for a relaxed SmDyY2Tm2 crystal, as listed in Alexandria via LeMat-Bulk.

Values from the calculation:
E_form, eV per atom: 0.272
Magnetic moment, μB per formula unit: 0.0
Space group: Pnnm
VASP energy, eV/atom: -4.9264

abc: 3.3970 6.4888 17.7576
angles: 90.00 90.00 90.00
Last column: nearest neighbours and their distance in Å.
Fractional positions:
Tm1 0.5000 0.2215 0.6466  1 Sm 3.17, 4 Y 3.31-3.40, 2 Tm 3.40, 2 Dy 3.42
Tm2 0.5000 0.7785 0.3534  1 Sm 3.17, 4 Y 3.31-3.40, 2 Tm 3.40, 2 Dy 3.42
Y1 0.0000 0.7767 0.1872  4 Tm 3.31-3.40, 2 Y 3.40, 1 Sm 3.63
Sm1 0.0000 0.0000 0.0000  2 Tm 3.17, 2 Sm 3.40
Tm3 0.0000 0.7215 0.8534  1 Sm 3.17, 4 Y 3.31-3.40, 2 Tm 3.40, 2 Dy 3.42
Dy1 0.5000 0.5000 0.0000  2 Dy 3.40, 4 Tm 3.42, 4 Sm 3.66
Y2 0.0000 0.2233 0.8128  4 Tm 3.31-3.40, 2 Y 3.40, 1 Sm 3.63
Dy2 0.0000 0.0000 0.5000  2 Dy 3.40, 4 Tm 3.42, 4 Sm 3.66
Y3 0.5000 0.2767 0.3128  4 Tm 3.31-3.40, 2 Y 3.40, 1 Sm 3.63
Tm4 0.0000 0.2785 0.1466  1 Sm 3.17, 4 Y 3.31-3.40, 2 Tm 3.40, 2 Dy 3.42
Y4 0.5000 0.7233 0.6872  4 Tm 3.31-3.40, 2 Y 3.40, 1 Sm 3.63
Sm2 0.5000 0.5000 0.5000  2 Tm 3.17, 2 Sm 3.40



First-principles (GGA-PBE) data for a relaxed Si2TcPb crystal, as listed in Alexandria via LeMat-Bulk.

Values from the calculation:
E_form (uncorrected), eV/atom: 0.83
Magnetic moment, μB per formula unit: 0.0
Space group: P4/mmm
VASP energy, eV/atom: -5.4009

abc: 4.3461 4.0217 4.0217
angles: 90.00 90.00 90.00
Last column: nearest neighbours and their distance in Å.
Fractional positions:
Pb1 0.5000 0.0000 0.5000  4 Tc 2.84, 8 Si 2.96
Tc1 0.5000 0.5000 0.0000  4 Pb 2.84, 8 Si 2.96
Si1 0.0000 0.5000 0.5000  4 Si 2.84, 4 Pb 2.96, 4 Tc 2.96
Si2 0.0000 0.0000 0.0000  4 Si 2.84, 4 Pb 2.96, 4 Tc 2.96



First-principles (GGA-PBE) data for a relaxed Pu2Ni4GeAs3 crystal, as listed in Alexandria via LeMat-Bulk.

Values from the calculation:
E_form, eV per atom: -0.618
Magnetic moment, μB per formula unit: 10.3
Space group: P-4m2
VASP energy, eV/atom: -7.6534

abc: 4.1312 4.1312 9.5358
angles: 90.00 90.00 90.00
Last column: nearest neighbours and their distance in Å.
Fractional positions:
As1 0.5000 0.0000 0.8669  5 Ni 2.33-2.42
Ge1 0.5000 0.5000 0.5000  4 Ni 2.37
Ni1 0.0000 0.0000 0.0000  4 As 2.42
Pu1 0.0000 0.5000 0.7518  6 As 3.12-3.17, 8 Ni 3.14-3.17, 2 Ge 3.17
Ni2 0.5000 0.0000 0.6228  3 As 2.33-2.37, 2 Ge 2.37
As2 0.0000 0.0000 0.5000  4 Ni 2.37
Ni3 0.5000 0.5000 0.0000  4 As 2.42
Ni4 0.0000 0.5000 0.3772  3 As 2.33-2.37, 2 Ge 2.37
Pu2 0.5000 0.0000 0.2482  6 As 3.12-3.17, 8 Ni 3.14-3.17, 2 Ge 3.17
As3 0.0000 0.5000 0.1331  5 Ni 2.33-2.42



First-principles (GGA-PBE) data for a relaxed BaCoRhC2 crystal, as listed in Alexandria via LeMat-Bulk.

Values from the calculation:
E_form, eV per atom: 1.732
Magnetic moment, μB per formula unit: 1.3
Space group: P4/mmm
VASP energy, eV/atom: -5.2340

abc: 3.9633 6.3956 3.9633
angles: 90.00 90.00 90.00
Last column: nearest neighbours and their distance in Å.
Fractional positions:
Ba1 0.0000 0.5000 0.0000  4 Co 2.80
Rh1 0.0000 0.0000 0.0000  4 C 1.98
C1 0.5000 0.0000 0.0000  2 Rh 1.98
Co1 0.5000 0.5000 0.5000  4 Ba 2.80
C2 0.0000 0.0000 0.5000  2 Rh 1.98



First-principles (GGA-PBE) data for a relaxed CeHo3Tl4Se8 crystal, as listed in Alexandria via LeMat-Bulk.

Values from the calculation:
E_form (uncorrected), eV/atom: -1.36
Magnetic moment, μB per formula unit: 1.0
Space group: R-3m
VASP energy, eV/atom: -4.9263

abc: 8.4331 9.1691 8.4333
angles: 117.41 120.00 90.00
Last column: nearest neighbours and their distance in Å.
Fractional positions:
Se1 0.2734 0.2947 0.0339  2 Ho 2.88, 1 Ce 2.96
Se2 0.7605 0.2947 0.0339  2 Ho 2.88, 1 Ce 2.96
Tl1 0.5000 0.0000 0.0000  6 Se 3.29-3.30
Ho1 0.5000 0.5000 0.0000  6 Se 2.88-2.90
Ho2 0.5000 0.5000 0.5000  6 Se 2.88-2.90
Tl2 0.0000 0.0000 0.5000  6 Se 3.36-3.37
Se3 0.7341 0.7020 0.4682  3 Ho 2.90
Se4 0.2394 0.7053 0.4788  2 Ho 2.88, 1 Ce 2.96
Se5 0.2659 0.2980 0.5318  3 Ho 2.90
Se6 0.7266 0.7053 0.9661  2 Ho 2.88, 1 Ce 2.96
Se7 0.2395 0.7053 0.9661  2 Ho 2.88, 1 Ce 2.96
Tl3 0.5000 0.0000 0.5000  6 Se 3.36-3.37
Ho3 0.0000 0.5000 0.5000  6 Se 2.88-2.90
Se8 0.7606 0.2947 0.5212  2 Ho 2.88, 1 Ce 2.96
Ce1 0.0000 0.5000 0.0000  6 Se 2.96
Tl4 0.0000 0.0000 0.0000  6 Se 3.36-3.37



First-principles (GGA-PBE) data for a relaxed LiTmGe2Pd crystal, as listed in Alexandria via LeMat-Bulk.

Values from the calculation:
E_form, eV per atom: -0.715
Magnetic moment, μB per formula unit: 0.0
Space group: I-4m2
VASP energy, eV/atom: -4.8776

abc: 4.0113 4.0113 6.1894
angles: 108.91 108.91 90.00
Last column: nearest neighbours and their distance in Å.
Fractional positions:
Ge1 0.6105 0.6105 0.2210  1 Ge 2.43, 2 Li 2.53, 2 Pd 2.53
Ge2 0.3895 0.3895 0.7790  1 Ge 2.43, 2 Li 2.53, 2 Pd 2.53
Tm1 0.0000 0.0000 0.0000  8 Ge 3.09, 4 Li 3.40, 4 Pd 3.40
Li1 0.2500 0.7500 0.5000  4 Ge 2.53
Pd1 0.7500 0.2500 0.5000  4 Ge 2.53